The following is a PBE calculation of a geometry-optimized YSb2HI structure, from the Alexandria database.

Cell lengths 4.504, 4.504, 5.925 Å; angles 90.00, 90.00, 90.00 degrees
Fractional positions:
Y: 0.000 0.000 0.000
Sb: 0.000 0.500 0.500
Sb: 0.500 0.000 0.500
H: 0.500 0.500 0.500
I: 0.500 0.500 0.000

Size of the total moment = 0.00 μB per cell
Energy above the most stable polymorph in this dataset = 0 meV per atom
SG = P4/mmm, No. 123



The following is a PBE calculation of a geometry-optimized Ba3Mn3N5 structure, from the Alexandria database.

Cell lengths 5.925, 7.937, 8.802 Å; angles 103.84, 104.07, 104.33 degrees
Fractional positions:
Ba: 0.163 0.362 0.387
Ba: 0.212 0.226 0.739
Ba: 0.262 0.930 0.112
Ba: 0.738 0.070 0.888
Ba: 0.788 0.774 0.261
Ba: 0.837 0.638 0.613
Mn: 0.176 0.494 0.094
Mn: 0.398 0.838 0.484
Mn: 0.411 0.660 0.823
Mn: 0.589 0.340 0.177
Mn: 0.602 0.162 0.516
Mn: 0.824 0.506 0.906
N: 0.161 0.572 0.906
N: 0.261 0.280 0.072
N: 0.271 0.021 0.449
N: 0.320 0.666 0.294
N: 0.354 0.729 0.642
N: 0.646 0.271 0.358
N: 0.680 0.334 0.706
N: 0.729 0.979 0.551
N: 0.739 0.720 0.928
N: 0.839 0.428 0.094

Size of the total moment = 0.59 μB per cell
Formation energy (no corrections) = -0.546 eV/atom
SG = P-1, No. 2



The following is a PBE calculation of a geometry-optimized Y3ZrSi structure, from the Alexandria database.

Cell lengths 5.408, 5.408, 5.408 Å; angles 90.00, 90.00, 90.00 degrees
Fractional positions:
Y: 0.000 0.000 0.500
Y: 0.000 0.500 0.000
Y: 0.500 0.000 0.000
Zr: 0.500 0.500 0.500
Si: 0.000 0.000 0.000

Size of the total moment = 3.97 μB per cell
Energy above the most stable polymorph in this dataset = 0 meV per atom
Formation energy (no corrections) = 0.202 eV/atom
SG = Pm-3m, No. 221



The following is a PBE calculation of a geometry-optimized Ba4Sn9Bi3 structure, from the Alexandria database.

Cell lengths 7.411, 7.411, 22.391 Å; angles 90.00, 90.00, 120.00 degrees
Fractional positions:
Ba: 0.000 0.000 0.000
Ba: 0.000 0.000 0.250
Ba: 0.000 0.000 0.500
Ba: 0.000 0.000 0.750
Ba: 0.333 0.667 0.137
Ba: 0.333 0.667 0.363
Ba: 0.667 0.333 0.637
Ba: 0.667 0.333 0.863
Sn: 0.059 0.530 0.750
Sn: 0.194 0.388 0.625
Sn: 0.194 0.388 0.875
Sn: 0.194 0.806 0.625
Sn: 0.194 0.806 0.875
Sn: 0.388 0.194 0.125
Sn: 0.388 0.194 0.375
Sn: 0.470 0.530 0.750
Sn: 0.470 0.941 0.750
Sn: 0.530 0.059 0.250
Sn: 0.530 0.470 0.250
Sn: 0.612 0.806 0.625
Sn: 0.612 0.806 0.875
Sn: 0.806 0.194 0.125
Sn: 0.806 0.194 0.375
Sn: 0.806 0.612 0.125
Sn: 0.806 0.612 0.375
Sn: 0.941 0.470 0.250
Bi: 0.000 0.500 0.000
Bi: 0.000 0.500 0.500
Bi: 0.500 0.000 0.000
Bi: 0.500 0.000 0.500
Bi: 0.500 0.500 0.000
Bi: 0.500 0.500 0.500

Size of the total moment = 0.00 μB per cell
Formation energy from the elements = -7.552 eV per formula unit
SG = P6_3/mmc, No. 194



What is the formula in the fourth record?
Ba4Sn9Bi3